Record 1
Compound: Sm4Sn2TeSe
Source: Alexandria via LeMat-Bulk
Functional: PBE
Structure: optimized geometry

abc: 7.634 4.387 7.675
angles: 90.00 109.18 90.00
Fractional coordinates of all 8 atoms:
Sm 0.242 0.000 0.247
Sm 0.242 0.500 0.748
Sm 0.758 0.000 0.753
Sm 0.758 0.500 0.252
Sn 0.000 0.500 0.000
Sn 0.500 0.000 0.000
Te 0.500 0.500 0.500
Se 0.000 0.000 0.500

Calculated values
The space-group type is No. 10.

---

Record 2
Compound: Sm6Sn2TeSe3
Source: Alexandria via LeMat-Bulk
Functional: PBE
Structure: optimized geometry

abc: 9.670 9.670 8.680
angles: 102.53 102.53 25.88
Fractional coordinates of all 12 atoms:
Sm 0.000 0.000 0.234
Sm 0.000 0.000 0.766
Sm 0.329 0.329 0.416
Sm 0.335 0.335 0.911
Sm 0.665 0.665 0.089
Sm 0.671 0.671 0.584
Sn 0.167 0.167 0.834
Sn 0.833 0.833 0.166
Te 0.500 0.500 0.500
Se 0.165 0.165 0.336
Se 0.500 0.500 0.000
Se 0.835 0.835 0.664

Calculated values
The space-group type is No. 12.

---

Record 3
Compound: Sm3Tl4SnSe8
Source: Alexandria via LeMat-Bulk
Functional: PBE
Structure: optimized geometry

abc: 9.142 9.142 9.142
angles: 55.63 55.63 55.63
Fractional coordinates of all 16 atoms:
Sm 0.000 0.500 0.500
Sm 0.500 0.000 0.500
Sm 0.500 0.500 0.000
Tl 0.000 0.000 0.500
Tl 0.000 0.500 0.000
Tl 0.500 0.000 0.000
Tl 0.500 0.500 0.500
Sn 0.000 0.000 0.000
Se 0.234 0.234 0.739
Se 0.234 0.739 0.234
Se 0.261 0.766 0.766
Se 0.263 0.263 0.263
Se 0.737 0.737 0.737
Se 0.739 0.234 0.234
Se 0.766 0.261 0.766
Se 0.766 0.766 0.261

Calculated values
The space-group type is No. 166.

---

Record 4
Compound: Sm6TlSn2Se3
Source: Alexandria via LeMat-Bulk
Functional: PBE
Structure: optimized geometry

abc: 9.886 9.886 8.779
angles: 108.49 108.49 25.11
Fractional coordinates of all 12 atoms:
Sm 0.007 0.007 0.235
Sm 0.328 0.328 0.430
Sm 0.334 0.334 0.920
Sm 0.666 0.666 0.080
Sm 0.672 0.672 0.570
Sm 0.993 0.993 0.765
Tl 0.500 0.500 0.500
Sn 0.161 0.161 0.819
Sn 0.839 0.839 0.181
Se 0.168 0.168 0.326
Se 0.500 0.500 0.000
Se 0.832 0.832 0.674

Calculated values
The space-group type is No. 12.

---

Record 5
Compound: Sm3Tl3SnSe8
Source: Alexandria via LeMat-Bulk
Functional: PBE
Structure: optimized geometry

abc: 9.240 9.240 9.240
angles: 54.15 54.15 54.15
Fractional coordinates of all 15 atoms:
Sm 0.000 0.500 0.500
Sm 0.500 0.000 0.500
Sm 0.500 0.500 0.000
Tl 0.000 0.000 0.500
Tl 0.000 0.500 0.000
Tl 0.500 0.000 0.000
Sn 0.000 0.000 0.000
Se 0.225 0.225 0.751
Se 0.225 0.751 0.225
Se 0.249 0.775 0.775
Se 0.264 0.264 0.264
Se 0.736 0.736 0.736
Se 0.751 0.225 0.225
Se 0.775 0.249 0.775
Se 0.775 0.775 0.249

Calculated values
The space-group type is No. 166.

---

Record 6
Compound: SmTl3Sn2Se6
Source: Alexandria via LeMat-Bulk
Functional: PBE
Structure: optimized geometry

abc: 7.321 7.321 8.022
angles: 98.72 98.72 120.23
Fractional coordinates of all 12 atoms:
Sm 0.000 0.000 0.000
Tl 0.163 0.837 0.500
Tl 0.500 0.500 0.500
Tl 0.837 0.163 0.500
Sn 0.333 0.667 0.000
Sn 0.667 0.333 0.000
Se 0.071 0.408 0.211
Se 0.271 0.271 0.794
Se 0.408 0.071 0.211
Se 0.592 0.929 0.789
Se 0.729 0.729 0.206
Se 0.929 0.592 0.789

Calculated values
The space-group type is No. 12.

---

Record 7
Compound: SmTmSnSe
Source: Alexandria via LeMat-Bulk
Functional: PBE
Structure: optimized geometry

abc: 4.258 4.258 6.089
angles: 90.00 90.00 90.00
Fractional coordinates of all 4 atoms:
Sm 0.000 0.000 0.000
Tm 0.500 0.500 0.500
Sn 0.000 0.000 0.500
Se 0.500 0.500 0.000

Calculated values
The space-group type is No. 123.

---

Record 8
Compound: SmYSnSe
Source: Alexandria via LeMat-Bulk
Functional: PBE
Structure: optimized geometry

abc: 4.292 4.292 6.113
angles: 90.00 90.00 90.00
Fractional coordinates of all 4 atoms:
Sm 0.000 0.000 0.000
Y 0.500 0.500 0.500
Sn 0.000 0.000 0.500
Se 0.500 0.500 0.000

Calculated values
The space-group type is No. 123.

---

Record 9
Compound: SrSm5Se8
Source: Alexandria via LeMat-Bulk
Functional: PBE
Structure: optimized geometry

abc: 8.685 8.685 8.685
angles: 60.00 60.00 60.00
Fractional coordinates of all 14 atoms:
Sr 0.000 0.000 0.000
Sm 0.373 0.373 0.373
Sm 0.373 0.373 0.880
Sm 0.373 0.880 0.373
Sm 0.750 0.750 0.750
Sm 0.880 0.373 0.373
Se 0.137 0.137 0.137
Se 0.137 0.137 0.588
Se 0.137 0.588 0.137
Se 0.148 0.617 0.617
Se 0.588 0.137 0.137
Se 0.617 0.148 0.617
Se 0.617 0.617 0.148
Se 0.617 0.617 0.617

Calculated values
The space-group type is No. 216.

---

Record 10
Compound: SrSm5Se6
Source: Alexandria via LeMat-Bulk
Functional: PBE
Structure: optimized geometry

abc: 7.282 7.282 7.310
angles: 99.54 99.54 120.13
Fractional coordinates of all 12 atoms:
Sr 0.000 0.000 0.000
Sm 0.164 0.836 0.500
Sm 0.333 0.667 0.000
Sm 0.500 0.500 0.500
Sm 0.667 0.333 0.000
Sm 0.836 0.164 0.500
Se 0.085 0.423 0.255
Se 0.255 0.255 0.750
Se 0.423 0.085 0.255
Se 0.577 0.915 0.745
Se 0.745 0.745 0.250
Se 0.915 0.577 0.745

Calculated values
The space-group type is No. 12.

---

Record 11
Compound: SrSm4Se6
Source: Alexandria via LeMat-Bulk
Functional: PBE
Structure: optimized geometry

abc: 7.197 7.197 21.451
angles: 90.00 90.00 146.21
Fractional coordinates of all 22 atoms:
Sr 0.159 0.841 0.750
Sr 0.841 0.159 0.250
Sm 0.093 0.907 0.129
Sm 0.093 0.907 0.371
Sm 0.362 0.638 0.040
Sm 0.362 0.638 0.460
Sm 0.638 0.362 0.540
Sm 0.638 0.362 0.960
Sm 0.907 0.093 0.629
Sm 0.907 0.093 0.871
Se 0.000 0.000 0.000
Se 0.000 0.000 0.500
Se 0.179 0.821 0.250
Se 0.269 0.731 0.587
Se 0.269 0.731 0.913
Se 0.455 0.545 0.163
Se 0.455 0.545 0.337
Se 0.545 0.455 0.663
Se 0.545 0.455 0.837
Se 0.731 0.269 0.087
Se 0.731 0.269 0.413
Se 0.821 0.179 0.750

Calculated values
The space-group type is No. 63.

---

Record 12
Compound: Sr3Sm4Se8
Source: Alexandria via LeMat-Bulk
Functional: PBE
Structure: optimized geometry

abc: 8.545 8.545 8.489
angles: 119.58 119.58 90.16
Fractional coordinates of all 15 atoms:
Sr 0.000 0.000 0.000
Sr 0.000 0.500 0.000
Sr 0.500 0.000 0.000
Sm 0.000 0.500 0.500
Sm 0.500 0.000 0.500
Sm 0.500 0.500 0.000
Sm 0.500 0.500 0.500
Se 0.255 0.745 0.000
Se 0.255 0.745 0.500
Se 0.258 0.258 0.510
Se 0.265 0.265 0.016
Se 0.735 0.735 0.984
Se 0.742 0.742 0.490
Se 0.745 0.255 0.000
Se 0.745 0.255 0.500

Calculated values
The space-group type is No. 12.

---

Record 13
Compound: Sr2SmSe3
Source: Alexandria via LeMat-Bulk
Functional: PBE
Structure: optimized geometry

abc: 7.534 7.534 7.534
angles: 146.69 131.93 59.74
Fractional coordinates of all 6 atoms:
Sr 0.169 0.169 0.000
Sr 0.831 0.831 0.000
Sm 0.500 0.500 0.000
Se 0.000 0.500 0.500
Se 0.342 0.842 0.500
Se 0.658 0.158 0.500

Calculated values
The space-group type is No. 71.

---

Record 14
Compound: Sr2SmSe3
Source: Alexandria via LeMat-Bulk
Functional: PBE
Structure: optimized geometry

abc: 14.359 13.691 7.522
angles: 79.41 69.59 30.99
Fractional coordinates of all 24 atoms:
Sr 0.043 0.043 0.207
Sr 0.124 0.124 0.626
Sr 0.207 0.207 0.043
Sr 0.374 0.374 0.876
Sr 0.626 0.626 0.124
Sr 0.793 0.793 0.957
Sr 0.876 0.876 0.374
Sr 0.957 0.957 0.793
Sm 0.292 0.292 0.458
Sm 0.458 0.458 0.292
Sm 0.542 0.542 0.708
Sm 0.708 0.708 0.542
Se 0.039 0.540 0.222
Se 0.137 0.613 0.613
Se 0.222 0.699 0.039
Se 0.301 0.778 0.460
Se 0.387 0.863 0.863
Se 0.460 0.961 0.301
Se 0.540 0.039 0.699
Se 0.613 0.137 0.137
Se 0.699 0.222 0.540
Se 0.778 0.301 0.961
Se 0.863 0.387 0.387
Se 0.961 0.460 0.778

Calculated values
The space-group type is No. 70.

---

Record 15
Compound: Sr3SmSe4
Source: Alexandria via LeMat-Bulk
Functional: PBE
Structure: optimized geometry

abc: 7.569 7.569 4.347
angles: 90.00 90.00 109.28
Fractional coordinates of all 8 atoms:
Sr 0.000 0.000 0.000
Sr 0.000 0.500 0.500
Sr 0.500 0.000 0.500
Sm 0.500 0.500 0.000
Se 0.257 0.743 0.000
Se 0.261 0.261 0.500
Se 0.739 0.739 0.500
Se 0.743 0.257 0.000

Calculated values
The space-group type is No. 65.

---

Record 16
Compound: Sr2Sm3Se6
Source: Alexandria via LeMat-Bulk
Functional: PBE
Structure: optimized geometry

abc: 7.319 7.319 7.602
angles: 99.19 99.19 119.94
Fractional coordinates of all 11 atoms:
Sr 0.167 0.833 0.000
Sr 0.833 0.167 0.000
Sm 0.000 0.000 0.500
Sm 0.335 0.665 0.500
Sm 0.665 0.335 0.500
Se 0.075 0.410 0.731
Se 0.254 0.254 0.266
Se 0.410 0.075 0.731
Se 0.590 0.925 0.269
Se 0.746 0.746 0.734
Se 0.925 0.590 0.269

Calculated values
The space-group type is No. 12.

---

Record 17
Compound: SrTb4SmSe8
Source: Alexandria via LeMat-Bulk
Functional: PBE
Structure: optimized geometry

abc: 8.605 8.605 8.605
angles: 59.71 59.71 59.71
Fractional coordinates of all 14 atoms:
Sr 0.000 0.000 0.000
Tb 0.121 0.628 0.628
Tb 0.251 0.251 0.251
Tb 0.628 0.121 0.628
Tb 0.628 0.628 0.121
Sm 0.628 0.628 0.628
Se 0.381 0.381 0.855
Se 0.381 0.855 0.381
Se 0.384 0.384 0.384
Se 0.415 0.866 0.866
Se 0.855 0.381 0.381
Se 0.862 0.862 0.862
Se 0.866 0.415 0.866
Se 0.866 0.866 0.415

Calculated values
The space-group type is No. 160.

---

Record 18
Compound: SrTbSm4Se8
Source: Alexandria via LeMat-Bulk
Functional: PBE
Structure: optimized geometry

abc: 8.645 8.645 8.645
angles: 60.23 60.23 60.23
Fractional coordinates of all 14 atoms:
Sr 0.000 0.000 0.000
Tb 0.626 0.626 0.626
Sm 0.119 0.626 0.626
Sm 0.249 0.249 0.249
Sm 0.626 0.119 0.626
Sm 0.626 0.626 0.119
Se 0.382 0.382 0.382
Se 0.385 0.385 0.850
Se 0.385 0.850 0.385
Se 0.413 0.859 0.859
Se 0.850 0.385 0.385
Se 0.859 0.413 0.859
Se 0.859 0.859 0.413
Se 0.862 0.862 0.862

Calculated values
The space-group type is No. 160.

---

Record 19
Compound: SrTb2SmSe4
Source: Alexandria via LeMat-Bulk
Functional: PBE
Structure: optimized geometry

abc: 7.266 4.161 7.266
angles: 90.00 109.05 90.00
Fractional coordinates of all 8 atoms:
Sr 0.000 0.000 0.000
Tb 0.000 0.500 0.500
Tb 0.500 0.000 0.500
Sm 0.500 0.500 0.000
Se 0.250 0.000 0.740
Se 0.259 0.500 0.263
Se 0.741 0.500 0.737
Se 0.750 0.000 0.260

Calculated values
The space-group type is No. 10.

---

Record 20
Compound: SrTbSm2Se4
Source: Alexandria via LeMat-Bulk
Functional: PBE
Structure: optimized geometry

abc: 7.293 4.183 7.308
angles: 90.00 109.06 90.00
Fractional coordinates of all 8 atoms:
Sr 0.000 0.000 0.000
Tb 0.500 0.500 0.000
Sm 0.000 0.500 0.500
Sm 0.500 0.000 0.500
Se 0.257 0.000 0.752
Se 0.259 0.500 0.254
Se 0.741 0.500 0.746
Se 0.743 0.000 0.248

Calculated values
The space-group type is No. 10.

---

| no. | formation energy (no corrections) (eV/atom) |
| --- | --- |
| 1 | -1.1710 |
| 2 | -1.3989 |
| 3 | -1.1231 |
| 4 | -1.1981 |
| 5 | -1.1429 |
| 6 | -0.7030 |
| 7 | -1.2313 |
| 8 | -1.2810 |
| 9 | -1.8025 |
| 10 | -1.8385 |
| 11 | -1.8980 |
| 12 | -1.9177 |
| 13 | -1.9428 |
| 14 | -1.9514 |
| 15 | -1.9742 |
| 16 | -1.9461 |
| 17 | -1.7993 |
| 18 | -1.8025 |
| 19 | -1.8309 |
| 20 | -1.8357 |